[1]
First-principles (GGA-PBEsol) data for a relaxed structure of FeIr, as listed in the Alexandria database.

Unit cell a=4.127 b=4.552 c=5.181 alpha=90.00 beta=90.00 gamma=90.00
Fractional coordinates of all 8 atoms:
Ir 0.750 0.907 0.372
Ir 0.250 0.593 0.872
Fe 0.250 0.079 0.122
Fe 0.250 0.579 0.378
Fe 0.750 0.421 0.622
Fe 0.750 0.921 0.878
Ir 0.750 0.407 0.128
Ir 0.250 0.093 0.628

Results
- Formation energy from the elements: -5.1 kJ/mol of atoms
- Raw total energy: -9.447 eV/atom



[2]
First-principles (GGA-PBEsol) data for a relaxed structure of FeIr3, as listed in the Alexandria database.

Unit cell a=2.685 b=2.685 c=8.736 alpha=81.16 beta=81.16 gamma=60.00
Fractional coordinates of all 4 atoms:
Ir 0.254 0.254 0.239
Fe 0.000 0.000 0.000
Ir 0.500 0.500 0.500
Ir 0.746 0.746 0.761

Results
- Formation energy from the elements: -0.4 kJ/mol of atoms
- Raw total energy: -9.613 eV/atom



[3]
First-principles (GGA-PBEsol) data for a relaxed structure of Fe4Ir3, as listed in the Alexandria database.

Unit cell a=2.798 b=2.798 c=11.254 alpha=97.14 beta=97.14 gamma=90.00
Fractional coordinates of all 7 atoms:
Fe 0.866 0.866 0.731
Fe 0.574 0.574 0.147
Fe 0.426 0.426 0.853
Ir 0.293 0.293 0.586
Ir 0.707 0.707 0.414
Fe 0.134 0.134 0.269
Ir 0.000 0.000 0.000

Results
- Formation energy from the elements: 4.8 kJ/mol of atoms
- Raw total energy: -9.283 eV/atom



[4]
First-principles (GGA-PBEsol) data for a relaxed structure of Fe5Ir4, as listed in the Alexandria database.

Unit cell a=3.714 b=5.730 c=5.730 alpha=83.97 beta=71.09 gamma=71.09
Fractional coordinates of all 9 atoms:
Fe 0.339 0.000 0.323
Ir 0.323 0.677 0.677
Fe 0.661 0.000 0.677
Fe 0.000 0.000 0.000
Fe 0.339 0.323 0.000
Ir 0.677 0.323 0.323
Ir 0.000 0.677 0.323
Fe 0.661 0.677 0.000
Ir 0.000 0.323 0.677

Results
- Formation energy from the elements: -1.9 kJ/mol of atoms
- Raw total energy: -9.366 eV/atom